DFT (PBE) results for an optimized crystal structure of ScPaSi.

Cell lengths 7.573, 7.573, 7.573 Å; angles 34.82, 34.82, 34.82 degrees
Sites, in units of the cell vectors:
Sc: 0.135 0.135 0.135
Sc: 0.865 0.865 0.865
Pa: 0.295 0.295 0.295
Pa: 0.705 0.705 0.705
Si: 0.437 0.437 0.437
Si: 0.563 0.563 0.563

Output
N(E_F)   8.27 states/eV/cell
V   126.40 Å³/cell
Size of the total moment   0.000 μB per atom
E_form (uncorrected)   -0.19 eV per atom
Electronic total energy   -43.6 eV for the cell shown